(1)
Density functional theory data (PBE) for crystalline MoPBr2 at its relaxed geometry.

Geometry as CIF:
```
data_MoPBr2
_cell_length_a 15.9474
_cell_length_b 3.1910
_cell_length_c 3.9102
_cell_angle_alpha 90.00
_cell_angle_beta 97.80
_cell_angle_gamma 90.00
_symmetry_space_group_name_H-M 'C 1 2/m 1'
_symmetry_Int_Tables_number 12
loop_
_symmetry_equiv_pos_as_xyz
'x,y,z'
'-x,-y,-z'
'-x,y,-z'
'x,-y,z'
'x+1/2,y+1/2,z'
'-x+1/2,-y+1/2,-z'
'-x+1/2,y+1/2,-z'
'x+1/2,-y+1/2,z'
loop_
_atom_site_label
_atom_site_type_symbol
_atom_site_fract_x
_atom_site_fract_y
_atom_site_fract_z
_atom_site_occupancy
Mo1 Mo 0.0000 0.0000 0.0000 1
P1 P 0.0000 0.5000 0.5000 1
Br1 Br 0.1398 0.5000 0.1810 1
```

(2)
Density functional theory data (PBE) for crystalline MoPBr2 at its relaxed geometry.

Geometry as CIF:
```
data_MoPBr2
_cell_length_a 3.1425
_cell_length_b 3.9416
_cell_length_c 15.9629
_cell_angle_alpha 90.00
_cell_angle_beta 90.00
_cell_angle_gamma 90.00
_symmetry_space_group_name_H-M 'I m m m'
_symmetry_Int_Tables_number 71
_symmetry_space_group_name_Hall '-I 2 2'
loop_
_atom_site_label
_atom_site_type_symbol
_atom_site_fract_x
_atom_site_fract_y
_atom_site_fract_z
_atom_site_occupancy
Mo1 Mo 0.0000 0.0000 0.0000 1
P1 P 0.0000 0.0000 0.5000 1
Br1 Br 0.0000 0.5000 0.3591 1
```

(3)
Density functional theory data (PBE) for crystalline MoPBr2 at its relaxed geometry.

Geometry as CIF:
```
data_MoPBr2
_cell_length_a 3.0608
_cell_length_b 3.0608
_cell_length_c 9.1622
_cell_angle_alpha 90.00
_cell_angle_beta 90.00
_cell_angle_gamma 90.00
_symmetry_space_group_name_H-M 'P 4/m m m'
_symmetry_Int_Tables_number 123
_symmetry_space_group_name_Hall '-P 4 2'
loop_
_atom_site_label
_atom_site_type_symbol
_atom_site_fract_x
_atom_site_fract_y
_atom_site_fract_z
_atom_site_occupancy
Mo1 Mo 0.0000 0.0000 0.0000 1
P1 P 0.0000 0.0000 0.5000 1
Br1 Br 0.5000 0.5000 0.1781 1
```

How do the records compare in energy relative to the elements, uncorrected? In the order shown, they have 0.14; 0.14; 2.91 eV/f.u..